VASP calculation (GGA-PBE) on a relaxed Li2IrF crystal.

Summary:
Space group ... Fm-3m, No. 225
Offset from the most stable computed form ... 0.6556 eV per atom
Density of states at the Fermi level ... 0.27 states/eV per cell

Cell lengths 4.3316, 4.3316, 4.3316 Å; angles 60.00, 60.00, 60.00 degrees
Fractional positions:
1 Li 0.2500 0.2500 0.2500
2 Li 0.7500 0.7500 0.7500
3 Ir 0.0000 0.0000 0.0000
4 F 0.5000 0.5000 0.5000